DFT (PBE-GGA) results for a relaxed structure of Cd5In24.

Energy of formation, eV per atom: 0.06
SG: I-43m
Calculated volume, Å³ per cell: 790

a b c (Å): 10.0885 10.0885 10.0885
angles (deg): 109.47 109.47 109.47
Atoms (fractional coordinates):
In (0.1894, 0.8078, 0.8078)
In (0.2800, 0.5847, 0.5847)
In (0.1922, 0.3816, 0.0000)
In (0.7200, 0.3047, 0.3047)
In (0.6953, 0.0000, 0.4153)
In (0.5847, 0.2800, 0.5847)
In (0.3047, 0.7200, 0.3047)
In (0.3047, 0.3047, 0.7200)
In (0.3816, 0.1922, 0.0000)
In (0.3816, 0.0000, 0.1922)
In (0.6953, 0.4153, 0.0000)
In (0.1922, 0.0000, 0.3816)
In (0.4153, 0.6953, 0.0000)
In (0.8106, 0.6184, 0.6184)
In (0.4153, 0.0000, 0.6953)
In (0.5847, 0.5847, 0.2800)
In (0.6184, 0.8106, 0.6184)
In (0.0000, 0.4153, 0.6953)
In (0.6184, 0.6184, 0.8106)
In (0.8078, 0.8078, 0.1894)
In (0.0000, 0.6953, 0.4153)
In (0.0000, 0.1922, 0.3816)
In (0.8078, 0.1894, 0.8078)
In (0.0000, 0.3816, 0.1922)
Cd (0.6875, 0.0000, 0.0000)
Cd (0.3125, 0.3125, 0.3125)
Cd (0.0000, 0.6875, 0.0000)
Cd (0.0000, 0.0000, 0.0000)
Cd (0.0000, 0.0000, 0.6875)